The following is a GGA-PBE calculation of crystalline Pr5Os2 at its relaxed geometry, from Alexandria via LeMat-Bulk.

DFT formation energy	-0.6	eV per formula unit
DFT total energy	-93.8	eV/cell
density	8.7	g cm⁻³

Lattice parameters (Å, degrees): 8.9283 8.9283 7.4776 96.34 96.34 44.11
Last column: nearest neighbours and their distance in Å.
Sites, in units of the cell vectors:
1 Pr 0.0723 0.9277 0.7500  4 Os 3.01-3.05
2 Pr 0.1415 0.2919 0.3150  3 Os 2.92-3.21
3 Pr 0.2919 0.1415 0.8150  3 Os 2.92-3.21
4 Pr 0.2978 0.5188 0.0864  2 Os 2.85-2.92
5 Pr 0.4812 0.7022 0.4136  2 Os 2.85-2.92
6 Pr 0.5188 0.2978 0.5864  2 Os 2.85-2.92
7 Pr 0.7022 0.4812 0.9136  2 Os 2.85-2.92
8 Pr 0.7081 0.8585 0.1850  3 Os 2.92-3.21
9 Pr 0.8585 0.7081 0.6850  3 Os 2.92-3.21
10 Pr 0.9277 0.0723 0.2500  4 Os 3.01-3.05
11 Os 0.1029 0.6762 0.4259  6 Pr 2.85-3.05
12 Os 0.3238 0.8971 0.0741  6 Pr 2.85-3.05
13 Os 0.6762 0.1029 0.9259  6 Pr 2.85-3.05
14 Os 0.8971 0.3238 0.5741  6 Pr 2.85-3.05